1.
First-principles (PBEsol) data for a relaxed structure of Ho4Ga12Fe, as listed in Alexandria.

Cell lengths 8.4082, 8.4082, 8.4082 Å; angles 90.00, 90.00, 90.00 degrees
Space group Im-3m (No. 229)
One atom of each set of equivalent atoms:
Ho 0.2500 0.2500 0.2500 x8
Ga 0.0000 0.0000 0.2844 x12
Ga 0.0000 0.2500 0.5000 x12
Fe 0.0000 0.0000 0.0000 x2

Properties
- E_form (kJ/mol of atoms) = -56
- E (eV for the cell shown) = -157.590

---

2.
First-principles (PBEsol) data for a relaxed structure of Ho2Ga8Fe, as listed in Alexandria.

Cell lengths 4.1416, 4.1416, 10.9543 Å; angles 90.00, 90.00, 90.00 degrees
Space group P4/mmm (No. 123)
One atom of each set of equivalent atoms:
Ho 0.0000 0.0000 0.1939 x2
Ga 0.0000 0.5000 0.0000 x2
Ga 0.0000 0.5000 0.3838 x4
Ga 0.5000 0.5000 0.1947 x2
Fe 0.0000 0.0000 0.5000 x1

Properties
- E_form (kJ/mol of atoms) = -49
- E (eV for the cell shown) = -51.121

---

3.
First-principles (PBEsol) data for a relaxed structure of GaFeI2N, as listed in Alexandria.

Cell lengths 5.4110, 5.4110, 3.4935 Å; angles 90.00, 90.00, 90.00 degrees
Space group P4/mmm (No. 123)
One atom of each set of equivalent atoms:
Ga 0.0000 0.0000 0.0000 x1
Fe 0.5000 0.5000 0.5000 x1
I 0.0000 0.5000 0.5000 x2
N 0.5000 0.5000 0.0000 x1

Properties
- formation energy from raw total energies (eV/atom) = 0.19
- E (eV for the cell shown) = -23.428

---

4.
First-principles (PBEsol) data for a relaxed structure of GaFeSb2I, as listed in Alexandria.

Cell lengths 4.7776, 4.7776, 5.6859 Å; angles 90.00, 90.00, 90.00 degrees
Space group P4/mmm (No. 123)
One atom of each set of equivalent atoms:
Ga 0.0000 0.0000 0.0000 x1
Fe 0.5000 0.5000 0.5000 x1
Sb 0.0000 0.5000 0.5000 x2
I 0.5000 0.5000 0.0000 x1

Properties
- formation energy from raw total energies (eV/atom) = 0.37
- E (eV for the cell shown) = -21.331